This record from the Alexandria database describes a relaxed structure of BaNb2GeH. The functional is PBEsol.

a = 3.654 Å, b = 5.126 Å, c = 5.126 Å
α = 90.00°, β = 90.00°, γ = 90.00°
Fractional positions:
H (0.500, 0.000, 0.000)
Nb (0.000, 0.000, 0.500)
Nb (0.000, 0.500, 0.000)
Ge (0.000, 0.000, 0.000)
Ba (0.500, 0.500, 0.500)

Computed properties:
E, eV for the cell shown: -26.81
Fermi-level density of states, states/eV per cell: 4.48